Entry 1:
TmMgPt6 PBE optimized geometry; SG = P4/mmm; total moment = 0.000 μB/cell; total DFT energy (no corrections) = -6.126 eV/atom; formation energy = -837 meV per atom
1.0
-3.6638 -1.6627 -0.3342
1.1800 -1.9277 -3.3454
2.4184 -6.2212 4.4379
Pt Tm Mg
6 1 1
direct
0.5000 0.5000 0.5000
0.5000 0.5000 0.0000
0.0000 0.5000 0.2595
0.5000 0.0000 0.2595
0.5000 0.0000 0.7405
0.0000 0.5000 0.7405
0.0000 0.0000 0.0000
0.0000 0.0000 0.5000


Entry 2:
TmMgPt2 PBE optimized geometry; SG = P4/mmm; total moment = 0.000 μB/cell; total DFT energy (no corrections) = -5.623 eV/atom; formation energy = -1086 meV per atom
1.0
-1.2016 2.4733 -1.8867
-3.0780 -0.6529 1.1045
0.8861 4.2150 4.9612
Tm Pt Mg
1 2 1
direct
0.5000 0.5000 0.5000
0.0000 0.0000 0.2333
0.0000 0.0000 0.7667
0.5000 0.5000 0.0000


Entry 3:
TmMgPt2 PBE optimized geometry; SG = Fm-3m; total moment = 0.000 μB/cell; total DFT energy (no corrections) = -5.615 eV/atom; formation energy = -1078 meV per atom
1.0
4.7126 0.0050 0.0019
2.3519 4.0838 0.0019
2.3534 1.3621 3.8505
Mg Pt Tm
1 2 1
direct
0.7500 0.7500 0.7500
0.4999 0.4999 0.5002
0.0001 0.0001 0.9998
0.2500 0.2500 0.2500


Entry 4:
TmMgPt4 PBE optimized geometry; SG = C2/m; total moment = 0.000 μB/cell; total DFT energy (no corrections) = -5.801 eV/atom; formation energy = -762 meV per atom
1.0
3.7432 0.0000 1.0826
2.1096 4.6638 -0.2818
0.2012 -1.7782 6.3165
Pt Mg Tm
4 1 1
direct
0.8183 0.5206 0.8429
0.6559 0.0104 0.6778
0.3441 0.9896 0.3223
0.1817 0.4794 0.1571
0.0000 0.0000 0.0000
0.5000 0.5000 0.5000


Entry 5:
TmMgZnPt PBE optimized geometry; SG = F-43m; total moment = 0.000 μB/cell; total DFT energy (no corrections) = -4.053 eV/atom; formation energy = -708 meV per atom
1.0
4.7444 0.0000 0.0000
2.3722 4.1088 0.0000
2.3722 1.3696 3.8738
Zn Pt Tm Mg
1 1 1 1
direct
0.2500 0.2500 0.2500
0.7500 0.7500 0.7500
0.5000 0.5000 0.5000
0.0000 0.0000 0.0000


Entry 6:
TmMgZn2Pt2 PBE optimized geometry; SG = P-3m1; total moment = 0.000 μB/cell; total DFT energy (no corrections) = -4.243 eV/atom; formation energy = -794 meV per atom
1.0
-4.1033 0.6685 1.4709
1.9590 -3.9009 0.6270
2.3292 2.0634 5.5599
Pt Mg Tm Zn
2 1 1 2
direct
0.3333 0.6667 0.2699
0.6667 0.3333 0.7301
0.0000 0.0000 0.5000
0.0000 0.0000 0.0000
0.3333 0.6667 0.7095
0.6667 0.3333 0.2905


Entry 7:
MgUPt5 PBE optimized geometry; SG = Cmmm; total moment = 1.275 μB/cell; total DFT energy (no corrections) = -6.759 eV/atom; formation energy = -604 meV per atom
1.0
-3.3138 -3.2710 1.6174
3.9764 -2.3662 -1.6988
2.3150 0.1979 5.1431
Pt Mg U
5 1 1
direct
0.0000 0.0000 0.5000
0.5000 0.0000 0.7593
0.5000 0.0000 0.2407
0.0000 0.5000 0.2407
0.0000 0.5000 0.7593
0.0000 0.0000 0.0000
0.5000 0.5000 0.5000


Entry 8:
MgUPt PBE optimized geometry; SG = Cmcm; total moment = 3.548 μB/cell; total DFT energy (no corrections) = -6.727 eV/atom; formation energy = -419 meV per atom
1.0
-2.8966 0.2950 0.9166
-1.4693 -2.0432 -3.9858
1.8295 -7.1998 3.0163
Pt Mg U
2 2 2
direct
0.4249 0.2500 0.8497
0.5751 0.7500 0.1503
0.9273 0.7500 0.8547
0.0727 0.2500 0.1453
0.7667 0.2500 0.5334
0.2333 0.7500 0.4666


Entry 9:
MgU4Pt15 PBE optimized geometry; SG = P4/mmm; total moment = 1.377 μB/cell; total DFT energy (no corrections) = -7.584 eV/atom; formation energy = -716 meV per atom
1.0
4.1341 0.0000 0.0000
0.0000 4.1341 0.0000
0.0000 0.0000 20.5050
U Pt Mg
4 15 1
direct
0.0000 0.0000 0.6024
0.0000 0.0000 0.8088
0.0000 0.0000 0.1912
0.0000 0.0000 0.3976
0.5000 0.5000 0.1951
0.5000 0.5000 0.6022
0.5000 0.0000 0.7049
0.5000 0.0000 0.5000
0.0000 0.5000 0.9046
0.5000 0.5000 0.8049
0.5000 0.5000 0.0000
0.0000 0.5000 0.7049
0.5000 0.0000 0.2951
0.0000 0.5000 0.2951
0.0000 0.5000 0.0954
0.5000 0.0000 0.0954
0.5000 0.5000 0.3978
0.5000 0.0000 0.9046
0.0000 0.5000 0.5000
0.0000 0.0000 0.0000


Entry 10:
MgUPt6 PBE optimized geometry; SG = P-6m2; total moment = 0.357 μB/cell; total DFT energy (no corrections) = -6.833 eV/atom; excess energy over the best structure of this formula in the dataset = 39 meV/atom; formation energy = -692 meV per atom
1.0
-2.7011 3.1329 2.2643
-2.7593 1.1557 -4.8907
-1.9145 -4.1512 3.4598
Pt U Mg
6 1 1
direct
0.5000 0.9153 0.5807
0.0000 0.5844 0.4156
0.5000 0.9153 0.0847
0.0000 0.0811 0.4156
0.5000 0.4193 0.0847
0.0000 0.5844 0.9189
0.0000 0.0833 0.9167
0.5000 0.4167 0.5833


Entry 11:
MgU3Pt12 PBE optimized geometry; SG = P4/mmm; total moment = 4.330 μB/cell; total DFT energy (no corrections) = -7.472 eV/atom; formation energy = -726 meV per atom
1.0
-0.5210 -2.0094 -3.5701
4.0637 -0.7096 -0.1937
-2.0493 -13.9635 8.1585
Mg Pt U
1 12 3
direct
0.0000 0.0000 0.0000
0.5000 0.0000 0.8799
0.5000 0.0000 0.3713
0.5000 0.0000 0.6287
0.0000 0.5000 0.6287
0.0000 0.5000 0.3713
0.5000 0.5000 0.2454
0.5000 0.5000 0.7546
0.0000 0.5000 0.1201
0.0000 0.5000 0.8799
0.5000 0.5000 0.0000
0.5000 0.5000 0.5000
0.5000 0.0000 0.1201
0.0000 0.0000 0.7591
0.0000 0.0000 0.2409
0.0000 0.0000 0.5000


Entry 12:
Mg4UPt5 PBE optimized geometry; SG = P4/mmm; total moment = 1.558 μB/cell; total DFT energy (no corrections) = -5.590 eV/atom; formation energy = -803 meV per atom
1.0
-0.5544 2.8586 1.4160
-2.8358 -1.0999 1.1101
7.2757 -5.2288 13.4049
Pt Mg U
5 4 1
direct
0.5000 0.5000 0.1173
0.5000 0.5000 0.3111
0.5000 0.5000 0.8827
0.5000 0.5000 0.6889
0.5000 0.5000 0.5000
0.0000 0.0000 0.2182
0.0000 0.0000 0.7818
0.0000 0.0000 0.5941
0.0000 0.0000 0.4059
0.0000 0.0000 0.0000


Q: Among the records above, which one has the lowest total DFT energy (no corrections)?
A: MgU4Pt15


Q: The highest total moment belongs to which entry?
A: MgU3Pt12